No. 1
VASP calculation (PBE) on a geometry-optimized LiAlRe structure.

Summary:
The density of states at the Fermi level is 2.05 states/eV/f.u. The total energy comes out at -5.90 eV per atom. The offset from the most stable computed form comes out at 100.2 meV/atom. The formation energy is 135.5 meV per atom.

abc: 2.645 2.645 13.067
angles: 90.00 90.00 90.00
Space group I4mm (No. 107)
Unique sites:
Li 0.000 0.000 0.000 [2 per cell]
Al 0.000 0.000 0.675 [2 per cell]
Re 0.000 0.000 0.330 [2 per cell]

No. 2
VASP calculation (PBE) on a geometry-optimized LiAl2Re structure.

Summary:
The density of states at the Fermi level is 1.63 states/eV/f.u. The total energy comes out at -5.62 eV per atom. The formation energy is -161.4 meV per atom.

abc: 2.713 3.931 5.526
angles: 90.00 90.00 90.00
Space group Pmmm (No. 47)
Unique sites:
Li 0.000 0.000 0.000 [1 per cell]
Al 0.500 0.500 0.260 [2 per cell]
Re 0.000 0.000 0.500 [1 per cell]

No. 3
VASP calculation (PBE) on a geometry-optimized LiAlRe structure.

Summary:
The density of states at the Fermi level is 1.49 states/eV/f.u. The total energy comes out at -5.98 eV per atom. The offset from the most stable computed form comes out at 21.1 meV/atom. The formation energy is 56.4 meV per atom.

abc: 3.036 4.385 13.459
angles: 90.00 90.00 90.00
Space group Fmm2 (No. 42)
Unique sites:
Li 0.000 0.000 0.000 [4 per cell]
Al 0.000 0.000 0.671 [4 per cell]
Re 0.000 0.000 0.331 [4 per cell]

No. 4
VASP calculation (PBE) on a geometry-optimized Li2Al2Re structure.

Summary:
The density of states at the Fermi level is 1.29 states/eV/f.u. The total energy comes out at -4.63 eV per atom. The offset from the most stable computed form comes out at 0.0 meV/atom. The formation energy is 119.0 meV per atom.

abc: 7.059 7.059 2.767
angles: 90.00 90.00 90.00
Space group P4/mbm (No. 127)
Unique sites:
Li 0.155 0.345 0.000 [4 per cell]
Al 0.145 0.645 0.500 [4 per cell]
Re 0.000 0.000 0.500 [2 per cell]

No. 5
VASP calculation (PBE) on a geometry-optimized LiAlRe structure.

Summary:
The density of states at the Fermi level is 1.66 states/eV/f.u. The total energy comes out at -5.95 eV per atom. The offset from the most stable computed form comes out at 45.6 meV/atom. The formation energy is 80.9 meV per atom.

abc: 2.603 4.090 7.940
angles: 90.00 90.00 90.00
Space group Imm2 (No. 44)
Unique sites:
Li 0.000 0.000 0.000 [2 per cell]
Al 0.000 0.000 0.332 [2 per cell]
Re 0.000 0.000 0.672 [2 per cell]

No. 6
VASP calculation (PBE) on a geometry-optimized LiAlRe structure.

Summary:
The density of states at the Fermi level is 3.25 states/eV/f.u. The total energy comes out at -5.78 eV per atom. The offset from the most stable computed form comes out at 221.9 meV/atom. The formation energy is 257.2 meV per atom.

abc: 3.005 3.005 9.032
angles: 90.00 90.00 90.00
Space group I4mm (No. 107)
Unique sites:
Li 0.000 0.000 0.000 [2 per cell]
Al 0.000 0.000 0.340 [2 per cell]
Re 0.000 0.000 0.668 [2 per cell]

No. 7
VASP calculation (PBE) on a geometry-optimized Li2Al8Re structure.

Summary:
The density of states at the Fermi level is 3.97 states/eV/f.u. The total energy comes out at -4.33 eV per atom. The formation energy is -127.0 meV per atom.

abc: 4.889 4.893 7.345
angles: 81.57 89.09 81.57
Space group P-1 (No. 2)
Unique sites:
Li 0.231 0.142 0.453 [2 per cell]
Al 0.044 0.244 0.095 [2 per cell]
Al 0.158 0.693 0.268 [2 per cell]
Al 0.309 0.566 0.645 [2 per cell]
Al 0.397 0.036 0.829 [2 per cell]
Re 0.500 0.500 0.000 [1 per cell]

No. 8
VASP calculation (PBE) on a geometry-optimized LiAl2Re structure.

Summary:
The density of states at the Fermi level is 2.47 states/eV/f.u. The total energy comes out at -5.50 eV per atom. The formation energy is -40.8 meV per atom.

abc: 2.8638 2.8638 26.6810
angles: 90.00 90.00 120.00
Space group R-3m (No. 166, hexagonal axes)
Unique sites:
Li 0.0000 0.0000 0.0000 [3 per cell]
Al 0.0000 0.0000 0.2444 [6 per cell]
Re 0.0000 0.0000 0.5000 [3 per cell]

No. 9
VASP calculation (PBE) on a geometry-optimized LiAl2Re structure.

Summary:
The density of states at the Fermi level is 2.00 states/eV/f.u. The total energy comes out at -5.37 eV per atom. The formation energy is 92.6 meV per atom.

abc: 3.146 4.394 8.859
angles: 90.00 90.00 90.00
Space group Cmm2 (No. 35)
Unique sites:
Li 0.000 0.000 0.000 [2 per cell]
Al 0.000 0.000 0.516 [2 per cell]
Al 0.000 0.500 0.260 [2 per cell]
Re 0.000 0.500 0.750 [2 per cell]

No. 10
VASP calculation (PBE) on a geometry-optimized LiAl3Re structure.

Summary:
The density of states at the Fermi level is 2.38 states/eV/f.u. The total energy comes out at -5.27 eV per atom. The offset from the most stable computed form comes out at 0.0 meV/atom. The formation energy is -154.4 meV per atom.

abc: 3.278 4.195 11.237
angles: 90.00 98.40 90.00
Space group P2_1 (No. 4)
Unique sites:
Li 0.242 0.000 0.485 [2 per cell]
Al 0.036 0.999 0.072 [2 per cell]
Al 0.153 0.499 0.306 [2 per cell]
Al 0.365 0.499 0.729 [2 per cell]
Re 0.440 0.999 0.880 [2 per cell]

No. 11
VASP calculation (PBE) on a geometry-optimized LiAl2Re structure.

Summary:
The density of states at the Fermi level is 2.39 states/eV/f.u. The total energy comes out at -5.47 eV per atom. The formation energy is -4.9 meV per atom.

abc: 4.745 2.677 5.165
angles: 90.00 115.98 90.00
Space group P2/m (No. 10)
Unique sites:
Li 0.000 0.000 0.000 [1 per cell]
Al 0.500 0.000 0.500 [1 per cell]
Al 0.500 0.500 0.000 [1 per cell]
Re 0.000 0.500 0.500 [1 per cell]

No. 12
VASP calculation (PBE) on a geometry-optimized LiAlRe4 structure.

Summary:
The density of states at the Fermi level is 4.37 states/eV/f.u. The total energy comes out at -8.88 eV per atom. The formation energy is 358.3 meV per atom.

abc: 7.326 7.326 7.326
angles: 90.00 90.00 90.00
Space group F-43m (No. 216)
Unique sites:
Li 0.000 0.000 0.000 [4 per cell]
Al 0.250 0.250 0.250 [4 per cell]
Re 0.125 0.125 0.625 [16 per cell]